DFT (PBE) results for a relaxed HoMg4Sc3 crystal.

## Properties
Mass density = 3.41 g/cm3
M_tot = 0.0 μB/cell
D(E_F) = 1.32 states/eV per atom
E = -60.596 eV for the cell shown
Symmetry = Pmma, No. 51
E_form = -0.04 eV per atom

Cell lengths 10.3084, 7.2723, 5.1544 Å; angles 90.00, 90.00, 90.00 degrees
Element x y z (fractional)
Ho (0.0000, 0.0000, 0.0000)
Ho (0.5000, 0.0000, 0.0000)
Mg (0.0000, 0.2587, 0.5000)
Mg (0.0000, 0.7413, 0.5000)
Mg (0.2500, 0.2589, 0.0062)
Mg (0.2500, 0.7411, 0.0062)
Mg (0.5000, 0.2587, 0.5000)
Mg (0.5000, 0.7413, 0.5000)
Mg (0.7500, 0.2589, 0.9938)
Mg (0.7500, 0.7411, 0.9938)
Sc (0.0000, 0.5000, 0.0000)
Sc (0.2500, 0.0000, 0.5052)
Sc (0.2500, 0.5000, 0.5056)
Sc (0.5000, 0.5000, 0.0000)
Sc (0.7500, 0.0000, 0.4948)
Sc (0.7500, 0.5000, 0.4944)